A relaxed LaNdHoTl crystal, computed with PBE-GGA.

Output
ΔE to the lowest computed polymorph ... 113 meV/atom
Theoretical density ... 8.61 g/cm3
Energy of formation ... -84 meV per atom

Unit cell a=7.955 b=7.955 c=7.955 alpha=90.00 beta=90.00 gamma=90.00
Space group F-43m (No. 216)
One atom of each set of equivalent atoms:
La (0.000, 0.000, 0.000) x4
Nd (0.000, 0.000, 0.500) x4
Ho (0.250, 0.250, 0.250) x4
Tl (0.250, 0.250, 0.750) x4

=====

A relaxed La2Nd6Ho3Tl crystal, computed with PBE-GGA.

Output
Theoretical density ... 7.69 g/cm3
Energy of formation ... -38 meV per atom

Unit cell a=6.230 b=10.804 c=12.004 alpha=90.00 beta=99.98 gamma=90.00
Space group C2/m (No. 12)
One atom of each set of equivalent atoms:
La (0.000, 0.167, 0.000) x4
Nd (0.240, 0.500, 0.746) x4
Nd (0.248, 0.337, 0.253) x8
Ho (0.000, 0.000, 0.500) x2
Ho (0.000, 0.333, 0.500) x4
Tl (0.000, 0.500, 0.000) x2

=====

A relaxed LaNdHoTl crystal, computed with PBE-GGA.

Output
ΔE to the lowest computed polymorph ... 0 meV/atom
Theoretical density ... 8.82 g/cm3
Energy of formation ... -197 meV per atom

Unit cell a=4.901 b=4.935 c=5.079 alpha=90.00 beta=90.00 gamma=90.00
Space group Pmmm (No. 47)
One atom of each set of equivalent atoms:
La (0.000, 0.000, 0.000) x1
Nd (0.500, 0.500, 0.000) x1
Ho (0.500, 0.000, 0.500) x1
Tl (0.000, 0.500, 0.500) x1

=====

A relaxed LaNdHo2Tl4 crystal, computed with PBE-GGA.

Output
Theoretical density ... 10.27 g/cm3
Energy of formation ... -364 meV per atom

Unit cell a=5.4645 b=5.4645 c=26.8402 alpha=90.00 beta=90.00 gamma=120.00
Space group R-3m (No. 166, hexagonal axes)
One atom of each set of equivalent atoms:
La (0.0000, 0.0000, 0.0000) x3
Nd (0.0000, 0.0000, 0.5000) x3
Ho (0.0000, 0.0000, 0.2498) x6
Tl (0.0000, 0.0000, 0.1258) x6
Tl (0.0000, 0.0000, 0.3759) x6